First-principles (GGA-PBE) data for an optimized crystal structure of CoRu3C, as listed in Alexandria.

Properties
As for the space group: Pm-3m (221). For the formation energy, the calculation gives 259.7 kJ per mole of atoms. Its total energy is -6.140 eV per atom.

abc: 4.401 4.401 4.401
angles: 90.00 90.00 90.00
Element x y z (fractional)
1 Ru 0.000 0.500 0.000
2 Ru 0.500 0.000 0.000
3 Ru 0.000 0.000 0.500
4 C 0.500 0.500 0.500
5 Co 0.000 0.000 0.000